Density functional theory data (GGA+U) for an optimized crystal structure of Rb2Cu3NiF12.

a b c (Å): 7.3057 7.3057 17.4751
angles (deg): 90.00 90.00 120.00
Space group R-3m (No. 166, hexagonal axes)
Asymmetric unit:
Rb (0.0000, 0.0000, 0.1260) x6
Cu (0.0000, 0.5000, 0.0000) x9
Ni (0.0000, 0.0000, 0.5000) x3
F (0.0597, 0.5298, 0.1076) x18
F (0.0698, 0.5349, 0.3553) x18

Values from the calculation:
As for the total moment: 6.8 μB per formula unit. As for the total energy: -73.81 eV/f.u. For the density of states at the Fermi level, the calculation gives 25.20 states/eV/cell.

---

Density functional theory data (GGA+U) for an optimized crystal structure of Rb2CuNiF6.

a b c (Å): 5.9085 5.9085 8.1369
angles (deg): 90.00 90.00 90.00
Space group I4/mmm (No. 139)
Asymmetric unit:
Rb (0.0000, 0.5000, 0.2500) x4
Cu (0.0000, 0.0000, 0.0000) x2
Ni (0.0000, 0.0000, 0.5000) x2
F (0.0000, 0.0000, 0.2435) x4
F (0.2433, 0.2433, 0.5000) x8

Values from the calculation:
As for the total moment: 1.0 μB per formula unit. As for the total energy: -42.25 eV/f.u. For the density of states at the Fermi level, the calculation gives 3.83 states/eV/cell.

---

Density functional theory data (GGA+U) for an optimized crystal structure of RbCuNiF6.

a b c (Å): 7.1621 7.3647 10.1818
angles (deg): 90.00 90.00 90.00
Space group Imma (No. 74)
Asymmetric unit:
Rb (0.0000, 0.2500, 0.1212) x4
Cu (0.0000, 0.0000, 0.5000) x4
Ni (0.2500, 0.2500, 0.7500) x4
F (0.0000, 0.2500, 0.4340) x4
F (0.0000, 0.2500, 0.8295) x4
F (0.1943, 0.0448, 0.6248) x16

Values from the calculation:
As for the total moment: 3.5 μB per formula unit. As for the total energy: -36.91 eV/f.u. For the density of states at the Fermi level, the calculation gives 13.65 states/eV/cell.

---

Density functional theory data (GGA+U) for an optimized crystal structure of ScCu2NiF.

a b c (Å): 4.4156 4.4156 3.8169
angles (deg): 90.00 90.00 90.00
Space group P4/mmm (No. 123)
Asymmetric unit:
Sc (0.0000, 0.0000, 0.0000) x1
Cu (0.0000, 0.5000, 0.5000) x2
Ni (0.5000, 0.5000, 0.0000) x1
F (0.5000, 0.5000, 0.5000) x1

Values from the calculation:
As for the total moment: 0.0 μB per formula unit. As for the total energy: -17.88 eV/f.u. For the density of states at the Fermi level, the calculation gives 4.92 states/eV/cell.

---

Density functional theory data (GGA+U) for an optimized crystal structure of Cu2SiNiF.

a b c (Å): 4.4117 4.4117 4.1763
angles (deg): 90.00 90.00 90.00
Space group P4/mmm (No. 123)
Asymmetric unit:
Cu (0.0000, 0.5000, 0.0000) x2
Si (0.0000, 0.0000, 0.0000) x1
Ni (0.0000, 0.0000, 0.5000) x1
F (0.5000, 0.5000, 0.5000) x1

Values from the calculation:
As for the total moment: 0.0 μB per formula unit. As for the total energy: -15.20 eV/f.u. For the density of states at the Fermi level, the calculation gives 3.77 states/eV/cell.

---

Density functional theory data (GGA+U) for an optimized crystal structure of CuNi2SnF.

a b c (Å): 4.0634 4.0634 4.5503
angles (deg): 90.00 90.00 90.00
Space group P4/mmm (No. 123)
Asymmetric unit:
Cu (0.0000, 0.0000, 0.0000) x1
Ni (0.0000, 0.5000, 0.5000) x2
Sn (0.5000, 0.5000, 0.0000) x1
F (0.0000, 0.0000, 0.5000) x1

Values from the calculation:
As for the total moment: 2.0 μB per formula unit. As for the total energy: -15.03 eV/f.u. For the density of states at the Fermi level, the calculation gives 1.42 states/eV/cell.

---

Density functional theory data (GGA+U) for an optimized crystal structure of SrCuNi2F8.

a b c (Å): 4.9610 5.0390 6.5576
angles (deg): 89.91 89.93 86.30
Space group P-1 (No. 2)
Asymmetric unit:
Sr (0.0000, 0.0000, 0.0000) x1
Cu (0.0000, 0.0000, 0.5000) x1
Ni (0.5000, 0.5000, 0.2673) x2
F (0.1999, 0.7939, 0.2891) x2
F (0.1996, 0.7936, 0.7111) x2
F (0.3195, 0.3173, 0.5003) x2
F (0.3357, 0.3285, 0.0002) x2

Values from the calculation:
As for the total moment: 5.0 μB per formula unit. As for the total energy: -54.41 eV/f.u. For the density of states at the Fermi level, the calculation gives 1.38 states/eV/cell.

---

Density functional theory data (GGA+U) for an optimized crystal structure of Tl3CuNi2F9.

a b c (Å): 5.8770 5.8770 7.2004
angles (deg): 90.00 90.00 120.00
Space group P-3m1 (No. 164)
Asymmetric unit:
Tl (0.0000, 0.0000, 0.0000) x1
Tl (0.3333, 0.6667, 0.6645) x2
Cu (0.0000, 0.0000, 0.5000) x1
Ni (0.3333, 0.6667, 0.1643) x2
F (0.0000, 0.5000, 0.0000) x3
F (0.1676, 0.3352, 0.3325) x6

Values from the calculation:
As for the total moment: 5.1 μB per formula unit. As for the total energy: -61.13 eV/f.u. For the density of states at the Fermi level, the calculation gives 10.16 states/eV/cell.

---

Density functional theory data (GGA+U) for an optimized crystal structure of Tl3Cu2NiF9.

a b c (Å): 5.8774 5.8774 7.1932
angles (deg): 90.00 90.00 120.00
Space group P-3m1 (No. 164)
Asymmetric unit:
Tl (0.0000, 0.0000, 0.0000) x1
Tl (0.3333, 0.6667, 0.6619) x2
Cu (0.3333, 0.6667, 0.1635) x2
Ni (0.0000, 0.0000, 0.5000) x1
F (0.0000, 0.5000, 0.0000) x3
F (0.1659, 0.3318, 0.3334) x6

Values from the calculation:
As for the total moment: 4.1 μB per formula unit. As for the total energy: -60.98 eV/f.u. For the density of states at the Fermi level, the calculation gives 4.92 states/eV/cell.

---

Density functional theory data (GGA+U) for an optimized crystal structure of Tl2Cu2NiF6.

a b c (Å): 10.9215 5.8112 6.6332
angles (deg): 90.00 125.22 90.00
Space group C2/m (No. 12)
Asymmetric unit:
Tl (0.2321, 0.0000, 0.2782) x4
Cu (0.0971, 0.5000, 0.9368) x4
Ni (0.0000, 0.0000, 0.5000) x2
F (0.0262, 0.2463, 0.3104) x8
F (0.2288, 0.0000, 0.7292) x4

Values from the calculation:
As for the total moment: 2.1 μB per formula unit. As for the total energy: -44.25 eV/f.u.

---

Density functional theory data (GGA+U) for an optimized crystal structure of CuNiW2F.

a b c (Å): 4.7265 4.7265 4.4120
angles (deg): 90.00 90.00 90.00
Space group P4/mmm (No. 123)
Asymmetric unit:
Cu (0.0000, 0.0000, 0.0000) x1
Ni (0.0000, 0.0000, 0.5000) x1
W (0.0000, 0.5000, 0.5000) x2
F (0.5000, 0.5000, 0.0000) x1

Values from the calculation:
As for the total moment: 6.4 μB per formula unit. As for the total energy: -15.35 eV/f.u. For the density of states at the Fermi level, the calculation gives 3.74 states/eV/cell.

---

Density functional theory data (GGA+U) for an optimized crystal structure of YCuNi2F.

a b c (Å): 4.1555 4.1555 4.3779
angles (deg): 90.00 90.00 90.00
Space group P4/mmm (No. 123)
Asymmetric unit:
Y (0.0000, 0.0000, 0.0000) x1
Cu (0.5000, 0.5000, 0.0000) x1
Ni (0.0000, 0.5000, 0.5000) x2
F (0.0000, 0.0000, 0.5000) x1

Values from the calculation:
As for the total moment: 0.0 μB per formula unit. As for the total energy: -16.51 eV/f.u. For the density of states at the Fermi level, the calculation gives 5.09 states/eV/cell.

---

Repeat the ninth record exactly.
Density functional theory data (GGA+U) for an optimized crystal structure of Tl3Cu2NiF9.

a b c (Å): 5.8774 5.8774 7.1932
angles (deg): 90.00 90.00 120.00
Space group P-3m1 (No. 164)
Asymmetric unit:
Tl (0.0000, 0.0000, 0.0000) x1
Tl (0.3333, 0.6667, 0.6619) x2
Cu (0.3333, 0.6667, 0.1635) x2
Ni (0.0000, 0.0000, 0.5000) x1
F (0.0000, 0.5000, 0.0000) x3
F (0.1659, 0.3318, 0.3334) x6

Values from the calculation:
As for the total moment: 4.1 μB per formula unit. As for the total energy: -60.98 eV/f.u. For the density of states at the Fermi level, the calculation gives 4.92 states/eV/cell.

---

Number 7 is which compound? SrCuNi2F8